[1]
# Li2ZnInAg PBE-GGA optimized geometry
data_Li2ZnInAg
_symmetry_space_group_name_H-M 'P m m a'
_symmetry_Int_Tables_number 51
_cell_length_a 4.924
_cell_length_b 5.994
_cell_length_c 6.300
_cell_angle_alpha 90.00
_cell_angle_beta 90.00
_cell_angle_gamma 90.00
loop_
_symmetry_equiv_pos_as_xyz
'x,y,z'
'-x,-y,-z'
'-x+1/2,-y,z'
'x+1/2,y,-z'
'x+1/2,-y,-z'
'-x+1/2,y,z'
'-x,y,-z'
'x,-y,z'
loop_
_atom_site_label
_atom_site_fract_x
_atom_site_fract_y
_atom_site_fract_z
_atom_site_occupancy
Li1 0.250 0.230 0.192 1
Zn1 0.000 0.500 0.500 1
In1 0.250 0.000 0.647 1
Ag1 0.250 0.500 0.868 1
# density of states at the Fermi level	0.2917	states/eV/atom
# DFT total energy	-2.28	eV/atom
# crystal system	orthorhombic

[2]
# LuIn2Ag PBE-GGA optimized geometry
data_LuIn2Ag
_symmetry_space_group_name_H-M 'P 4/m m m'
_symmetry_Int_Tables_number 123
_symmetry_space_group_name_Hall '-P 4 2'
_cell_length_a 4.511
_cell_length_b 4.511
_cell_length_c 4.462
_cell_angle_alpha 90.00
_cell_angle_beta 90.00
_cell_angle_gamma 90.00
loop_
_atom_site_label
_atom_site_fract_x
_atom_site_fract_y
_atom_site_fract_z
_atom_site_occupancy
Lu1 0.000 0.000 0.000 1
In1 0.000 0.500 0.500 1
Ag1 0.500 0.500 0.000 1
# density of states at the Fermi level	0.6892	states/eV/atom
# DFT total energy	-3.50	eV/atom
# crystal system	tetragonal

[3]
# LuIn2Ag PBE-GGA optimized geometry
data_LuIn2Ag
_symmetry_space_group_name_H-M 'P 4/m m m'
_symmetry_Int_Tables_number 123
_symmetry_space_group_name_Hall '-P 4 2'
_cell_length_a 3.371
_cell_length_b 3.371
_cell_length_c 7.988
_cell_angle_alpha 90.00
_cell_angle_beta 90.00
_cell_angle_gamma 90.00
loop_
_atom_site_label
_atom_site_fract_x
_atom_site_fract_y
_atom_site_fract_z
_atom_site_occupancy
Lu1 0.000 0.000 0.000 1
In1 0.500 0.500 0.271 1
Ag1 0.000 0.000 0.500 1
# density of states at the Fermi level	0.5557	states/eV/atom
# DFT total energy	-3.41	eV/atom
# crystal system	tetragonal

[4]
# LuInAg2 PBE-GGA optimized geometry
data_LuInAg2
_symmetry_space_group_name_H-M 'F m -3 m'
_symmetry_Int_Tables_number 225
_symmetry_space_group_name_Hall '-F 4 2 3'
_cell_length_a 6.919
_cell_length_b 6.919
_cell_length_c 6.919
_cell_angle_alpha 90.00
_cell_angle_beta 90.00
_cell_angle_gamma 90.00
loop_
_atom_site_label
_atom_site_fract_x
_atom_site_fract_y
_atom_site_fract_z
_atom_site_occupancy
Lu1 0.000 0.000 0.000 1
In1 0.000 0.000 0.500 1
Ag1 0.250 0.250 0.250 1
# density of states at the Fermi level	0.4841	states/eV/atom
# DFT total energy	-3.57	eV/atom
# ΔE to the lowest computed polymorph	0.000	eV/atom
# crystal system	cubic

[5]
# LuInAg2 PBE-GGA optimized geometry
data_LuInAg2
_symmetry_space_group_name_H-M 'P 4/m m m'
_symmetry_Int_Tables_number 123
_symmetry_space_group_name_Hall '-P 4 2'
_cell_length_a 3.693
_cell_length_b 3.693
_cell_length_c 6.420
_cell_angle_alpha 90.00
_cell_angle_beta 90.00
_cell_angle_gamma 90.00
loop_
_atom_site_label
_atom_site_fract_x
_atom_site_fract_y
_atom_site_fract_z
_atom_site_occupancy
Lu1 0.000 0.000 0.000 1
In1 0.000 0.000 0.500 1
Ag1 0.500 0.500 0.240 1
# density of states at the Fermi level	0.4561	states/eV/atom
# DFT total energy	-3.46	eV/atom
# ΔE to the lowest computed polymorph	0.111	eV/atom
# crystal system	tetragonal

[6]
# LuMgInAg PBE-GGA optimized geometry
data_LuMgInAg
_symmetry_space_group_name_H-M 'F -4 3 m'
_symmetry_Int_Tables_number 216
_symmetry_space_group_name_Hall 'F -4 2 3'
_cell_length_a 7.060
_cell_length_b 7.060
_cell_length_c 7.060
_cell_angle_alpha 90.00
_cell_angle_beta 90.00
_cell_angle_gamma 90.00
loop_
_atom_site_label
_atom_site_fract_x
_atom_site_fract_y
_atom_site_fract_z
_atom_site_occupancy
Lu1 0.000 0.000 0.000 1
Mg1 0.000 0.000 0.500 1
In1 0.250 0.250 0.750 1
Ag1 0.250 0.250 0.250 1
# density of states at the Fermi level	0.5425	states/eV/atom
# DFT total energy	-3.24	eV/atom
# crystal system	cubic

[7]
# LuMnInAg PBE-GGA optimized geometry
data_LuMnInAg
_symmetry_space_group_name_H-M 'F -4 3 m'
_symmetry_Int_Tables_number 216
_symmetry_space_group_name_Hall 'F -4 2 3'
_cell_length_a 6.869
_cell_length_b 6.869
_cell_length_c 6.869
_cell_angle_alpha 90.00
_cell_angle_beta 90.00
_cell_angle_gamma 90.00
loop_
_atom_site_label
_atom_site_fract_x
_atom_site_fract_y
_atom_site_fract_z
_atom_site_occupancy
Lu1 0.000 0.000 0.000 1
Mn1 0.250 0.250 0.750 1
In1 0.000 0.000 0.500 1
Ag1 0.250 0.250 0.250 1
# density of states at the Fermi level	0.9319	states/eV/atom
# DFT total energy	-4.86	eV/atom
# crystal system	cubic

[8]
# NaLuInAg PBE-GGA optimized geometry
data_NaLuInAg
_symmetry_space_group_name_H-M 'F -4 3 m'
_symmetry_Int_Tables_number 216
_symmetry_space_group_name_Hall 'F -4 2 3'
_cell_length_a 7.225
_cell_length_b 7.225
_cell_length_c 7.225
_cell_angle_alpha 90.00
_cell_angle_beta 90.00
_cell_angle_gamma 90.00
loop_
_atom_site_label
_atom_site_fract_x
_atom_site_fract_y
_atom_site_fract_z
_atom_site_occupancy
Na1 0.000 0.000 0.000 1
Lu1 0.000 0.000 0.500 1
In1 0.250 0.250 0.750 1
Ag1 0.250 0.250 0.250 1
# density of states at the Fermi level	0.5195	states/eV/atom
# DFT total energy	-2.99	eV/atom
# crystal system	cubic

[9]
# LuInNiAg PBE-GGA optimized geometry
data_LuInNiAg
_symmetry_space_group_name_H-M 'F -4 3 m'
_symmetry_Int_Tables_number 216
_symmetry_space_group_name_Hall 'F -4 2 3'
_cell_length_a 6.695
_cell_length_b 6.695
_cell_length_c 6.695
_cell_angle_alpha 90.00
_cell_angle_beta 90.00
_cell_angle_gamma 90.00
loop_
_atom_site_label
_atom_site_fract_x
_atom_site_fract_y
_atom_site_fract_z
_atom_site_occupancy
Lu1 0.000 0.000 0.000 1
In1 0.000 0.000 0.500 1
Ni1 0.250 0.250 0.250 1
Ag1 0.250 0.250 0.750 1
# density of states at the Fermi level	0.7382	states/eV/atom
# DFT total energy	-4.28	eV/atom
# crystal system	cubic

[10]
# LuInAgPb PBE-GGA optimized geometry
data_LuInAgPb
_symmetry_space_group_name_H-M 'F -4 3 m'
_symmetry_Int_Tables_number 216
_symmetry_space_group_name_Hall 'F -4 2 3'
_cell_length_a 7.320
_cell_length_b 7.320
_cell_length_c 7.320
_cell_angle_alpha 90.00
_cell_angle_beta 90.00
_cell_angle_gamma 90.00
loop_
_atom_site_label
_atom_site_fract_x
_atom_site_fract_y
_atom_site_fract_z
_atom_site_occupancy
Lu1 0.000 0.000 0.000 1
In1 0.250 0.250 0.750 1
Ag1 0.000 0.000 0.500 1
Pb1 0.250 0.250 0.250 1
# density of states at the Fermi level	0.5502	states/eV/atom
# DFT total energy	-3.56	eV/atom
# crystal system	cubic

[11]
# PrLuInAg PBE-GGA optimized geometry
data_PrLuInAg
_symmetry_space_group_name_H-M 'F -4 3 m'
_symmetry_Int_Tables_number 216
_symmetry_space_group_name_Hall 'F -4 2 3'
_cell_length_a 7.513
_cell_length_b 7.513
_cell_length_c 7.513
_cell_angle_alpha 90.00
_cell_angle_beta 90.00
_cell_angle_gamma 90.00
loop_
_atom_site_label
_atom_site_fract_x
_atom_site_fract_y
_atom_site_fract_z
_atom_site_occupancy
Pr1 0.000 0.000 0.000 1
Lu1 0.000 0.000 0.500 1
In1 0.250 0.250 0.250 1
Ag1 0.250 0.250 0.750 1
# density of states at the Fermi level	0.7939	states/eV/atom
# DFT total energy	-4.08	eV/atom
# crystal system	cubic

[12]
# LuPuInAg PBE-GGA optimized geometry
data_LuPuInAg
_symmetry_space_group_name_H-M 'F -4 3 m'
_symmetry_Int_Tables_number 216
_symmetry_space_group_name_Hall 'F -4 2 3'
_cell_length_a 7.400
_cell_length_b 7.400
_cell_length_c 7.400
_cell_angle_alpha 90.00
_cell_angle_beta 90.00
_cell_angle_gamma 90.00
loop_
_atom_site_label
_atom_site_fract_x
_atom_site_fract_y
_atom_site_fract_z
_atom_site_occupancy
Lu1 0.000 0.000 0.000 1
Pu1 0.000 0.000 0.500 1
In1 0.250 0.250 0.750 1
Ag1 0.250 0.250 0.250 1
# density of states at the Fermi level	2.2342	states/eV/atom
# DFT total energy	-6.26	eV/atom
# crystal system	cubic

[13]
# LuInAgRh PBE-GGA optimized geometry
data_LuInAgRh
_symmetry_space_group_name_H-M 'F -4 3 m'
_symmetry_Int_Tables_number 216
_symmetry_space_group_name_Hall 'F -4 2 3'
_cell_length_a 6.748
_cell_length_b 6.748
_cell_length_c 6.748
_cell_angle_alpha 90.00
_cell_angle_beta 90.00
_cell_angle_gamma 90.00
loop_
_atom_site_label
_atom_site_fract_x
_atom_site_fract_y
_atom_site_fract_z
_atom_site_occupancy
Lu1 0.000 0.000 0.000 1
In1 0.000 0.000 0.500 1
Ag1 0.250 0.250 0.750 1
Rh1 0.250 0.250 0.250 1
# density of states at the Fermi level	0.5925	states/eV/atom
# DFT total energy	-4.87	eV/atom
# crystal system	cubic